A relaxed ScInTc2 crystal, computed with PBE.

The value obtained for the mass density is 8.30 g/cm3. For the density of states at the Fermi level, the calculation gives 4.1 states/eV/f.u. Its crystal system is monoclinic. As for the formation enthalpy at 0 K: 108.0 meV/atom.

a = 5.229 Å, b = 5.229 Å, c = 4.636 Å
α = 67.02°, β = 67.02°, γ = 38.04°
Atoms (fractional coordinates):
In: 0.750 0.750 0.750
Sc: 0.250 0.250 0.250
Tc: 0.505 0.505 0.537
Tc: 0.995 0.995 0.963